PBE LaTcPb, relaxed; energy relative to the elements = 177 meV/atom
1.0
4.788 0.000 0.000
-2.394 4.147 0.000
0.000 0.000 3.934
La Pb Tc
1 1 1
direct
0.000 0.000 0.000
0.667 0.333 0.500
0.333 0.667 0.500

=====

PBE Pr3Tl4SnSe8, relaxed; formation energy (no corrections) = -1.1126 eV per atom
1.0
8.666 0.000 0.000
0.000 9.163 0.342
-4.333 -4.329 6.131
Pr Tl Sn Se
3 4 1 8
direct
0.500 0.500 0.000
0.500 0.500 0.500
0.000 0.500 0.500
0.500 0.000 0.000
0.500 0.000 0.500
0.000 0.000 0.000
0.000 0.000 0.500
0.000 0.500 0.000
0.234 0.711 0.977
0.234 0.711 0.467
0.262 0.286 0.524
0.744 0.711 0.977
0.256 0.289 0.023
0.738 0.714 0.476
0.766 0.289 0.533
0.766 0.289 0.023

=====

PBE Pr6AgIr2Cl3, relaxed; formation energy (no corrections) = -1.0558 eV per atom
1.0
-0.020 -5.962 -4.288
6.170 3.874 0.920
-0.210 -3.613 7.073
Pr Ag Ir Cl
6 1 2 3
direct
0.931 0.573 0.790
0.711 0.711 0.210
0.069 0.427 0.210
0.573 0.931 0.790
0.289 0.289 0.790
0.427 0.069 0.210
0.000 0.000 0.000
0.334 0.666 0.000
0.666 0.334 0.000
0.174 0.826 0.500
0.826 0.174 0.500
0.500 0.500 0.500

=====

PBE Ac3Sb2O2, relaxed; formation energy (no corrections) = -2.0798 eV per atom
1.0
4.395 0.000 0.000
0.000 7.854 0.098
-2.198 -2.345 6.247
Ac Sb O
3 2 2
direct
0.000 0.500 0.000
0.315 0.718 0.629
0.685 0.282 0.371
0.620 0.819 0.239
0.380 0.181 0.761
0.835 0.582 0.670
0.165 0.418 0.330

=====

PBE TePb2BrF, relaxed; formation energy (no corrections) = -0.4480 eV per atom
1.0
5.518 0.000 0.000
0.000 4.778 0.000
0.000 0.000 5.518
Pb Te Br F
2 1 1 1
direct
0.000 0.000 0.500
0.500 0.000 0.000
0.000 0.500 0.000
0.500 0.500 0.500
0.000 0.000 0.000

=====

PBE Sm5ZnS4, relaxed; formation energy (no corrections) = -1.6821 eV per atom
1.0
-0.626 4.474 3.518
-5.563 -0.460 4.254
3.294 -0.716 6.156
Sm Zn S
5 1 4
direct
0.899 0.408 0.797
0.307 0.797 0.592
0.696 0.203 0.408
0.103 0.592 0.203
0.501 0.000 0.000
0.001 0.000 0.000
0.400 0.402 0.799
0.803 0.799 0.598
0.199 0.201 0.402
0.602 0.598 0.201

=====

no.,N(E_F) (states/eV per cell),magnetization (μB/f.u.)
1,3.613,0.0
2,5.965,0.0
3,8.945,0.0
4,2.929,0.0
5,2.603,0.0
6,3.566,0.0